# 1
The following is a PBE calculation of an optimized crystal structure of CoHgTe2I, from the Alexandria database.

Summary:
Raw formation energy (eV/f.u.): 6.44
N(E_F) (states/eV/cell): 8.0
E above lowest polymorph (eV/atom): 0.959
Density (g/cm3): 5.326

a = 5.9969 Å, b = 5.5623 Å, c = 5.9969 Å
α = 90.00°, β = 90.00°, γ = 90.00°
Site moments in Bohr magnetons follow the coordinates.
Fractional positions:
I  0.0000  0.0000  0.0000  -0.01
Te  0.0000  0.0000  0.5000  0.01
Te  0.5000  0.0000  0.0000  0.02
Co  0.5000  0.5000  0.5000  2.28
Hg  0.0000  0.5000  0.0000  0.00

# 2
The following is a PBE calculation of an optimized crystal structure of Sb3OsPt, from the Alexandria database.

Summary:
Raw formation energy (eV/f.u.): 4.14
N(E_F) (states/eV/cell): 4.0
E above lowest polymorph (eV/atom): 0.000
Density (g/cm3): 9.551

a = 5.0723 Å, b = 5.0723 Å, c = 5.0723 Å
α = 90.00°, β = 90.00°, γ = 90.00°
Fractional positions:
Sb  0.0000  0.5000  0.0000
Sb  0.0000  0.0000  0.5000
Sb  0.5000  0.0000  0.0000
Os  0.0000  0.0000  0.0000
Pt  0.5000  0.5000  0.5000

# 3
The following is a PBE calculation of an optimized crystal structure of CuAsO3, from the Alexandria database.

Summary:
Raw formation energy (eV/f.u.): -0.29
N(E_F) (states/eV/cell): 1.8
Density (g/cm3): 5.853

a = 3.7541 Å, b = 3.7541 Å, c = 3.7541 Å
α = 90.00°, β = 90.00°, γ = 90.00°
Fractional positions:
Cu  0.0000  0.0000  0.0000
As  0.5000  0.5000  0.5000
O  0.0000  0.5000  0.0000
O  0.0000  0.0000  0.5000
O  0.5000  0.0000  0.0000

# 4
The following is a PBE calculation of an optimized crystal structure of Rb3TmTa2O9, from the Alexandria database.

Summary:
Raw formation energy (eV/f.u.): -36.27
N(E_F) (states/eV/cell): 7.8
Density (g/cm3): 6.904

a = 5.9512 Å, b = 5.9512 Å, c = 7.3022 Å
α = 90.00°, β = 90.00°, γ = 120.00°
Site moments in Bohr magnetons follow the coordinates.
Fractional positions:
Rb  0.3333  0.6667  0.6658  0.00
Rb  0.0000  0.0000  0.0000  0.00
Rb  0.6667  0.3333  0.3342  0.00
Tm  0.0000  0.0000  0.5000  -0.03
Ta  0.3333  0.6667  0.1695  -0.07
Ta  0.6667  0.3333  0.8305  -0.07
O  0.8239  0.1761  0.6832  0.17
O  0.8239  0.6477  0.6832  0.17
O  0.3523  0.1761  0.6832  0.17
O  0.6477  0.8239  0.3168  0.17
O  0.1761  0.3523  0.3168  0.17
O  0.1761  0.8239  0.3168  0.17
O  0.5000  0.0000  0.0000  0.27
O  0.0000  0.5000  0.0000  0.27
O  0.5000  0.5000  0.0000  0.27

# 5
The following is a PBE calculation of an optimized crystal structure of Sr2CrW, from the Alexandria database.

Summary:
N(E_F) (states/eV/cell): 6.6
E above lowest polymorph (eV/atom): 0.893
Density (g/cm3): 5.938

a = 8.6648 Å, b = 8.6648 Å, c = 6.8495 Å
α = 50.76°, β = 50.76°, γ = 90.00°
Site moments in Bohr magnetons follow the coordinates.
Fractional positions:
Sr  0.6160  0.1250  0.2500  -0.01
Sr  0.1340  0.6250  0.2500  -0.01
Sr  0.3750  0.3840  0.7500  -0.01
Sr  0.8750  0.8660  0.7500  -0.01
W  0.0000  0.0000  0.0000  -2.18
W  0.7500  0.2500  0.5000  -2.18
Cr  0.5000  0.5000  0.0000  3.78
Cr  0.2500  0.7500  0.5000  3.77

# 6
The following is a PBE calculation of an optimized crystal structure of YSc2TlS, from the Alexandria database.

Summary:
Raw formation energy (eV/f.u.): 1.95
N(E_F) (states/eV/cell): 8.3
E above lowest polymorph (eV/atom): 1.229
Density (g/cm3): 4.251

a = 5.3196 Å, b = 5.7325 Å, c = 5.3196 Å
α = 90.00°, β = 90.00°, γ = 90.00°
Site moments in Bohr magnetons follow the coordinates.
Fractional positions:
Y  0.0000  0.5000  0.0000  0.15
Sc  0.0000  0.0000  0.5000  0.30
Sc  0.5000  0.0000  0.0000  0.48
Tl  0.0000  0.0000  0.0000  0.00
S  0.5000  0.5000  0.5000  -0.03